[1]
The following is a GGA-PBE calculation of a relaxed EuTmHgAu crystal, from Alexandria via LeMat-Bulk.

Unit cell a=5.236 b=5.236 c=5.236 alpha=60.00 beta=60.00 gamma=60.00
Fractional coordinates of all 4 atoms:
Hg 0.500 0.500 0.500
Eu 0.250 0.250 0.250
Tm 0.750 0.750 0.750
Au 0.000 0.000 0.000

Results
crystal system	cubic
ΔH_f (0 K)	-0.616	eV per atom
E_tot	-5.1977	eV per atom

[2]
The following is a GGA-PBE calculation of a relaxed EuHoAu crystal, from Alexandria via LeMat-Bulk.

Unit cell a=4.130 b=4.951 c=4.951 alpha=120.00 beta=90.00 gamma=90.00
Fractional coordinates of all 3 atoms:
Au 0.109 0.000 0.000
Ho 0.202 0.333 0.667
Eu 0.689 0.667 0.333

Results
crystal system	trigonal
relative energy among the computed polymorphs	150	meV/atom
ΔH_f (0 K)	-0.389	eV per atom
E_tot	-6.4326	eV per atom

[3]
The following is a GGA-PBE calculation of a relaxed EuHoAu crystal, from Alexandria via LeMat-Bulk.

Unit cell a=5.070 b=5.070 c=5.070 alpha=60.00 beta=60.00 gamma=60.00
Fractional coordinates of all 3 atoms:
Ho 0.500 0.500 0.500
Au 0.250 0.250 0.250
Eu 0.000 0.000 0.000

Results
crystal system	cubic
relative energy among the computed polymorphs	129	meV/atom
ΔH_f (0 K)	-0.410	eV per atom
E_tot	-6.4533	eV per atom

[4]
The following is a GGA-PBE calculation of a relaxed EuHoAu crystal, from Alexandria via LeMat-Bulk.

Unit cell a=3.684 b=3.684 c=6.963 alpha=105.34 beta=105.34 gamma=90.00
Fractional coordinates of all 3 atoms:
Au 0.683 0.683 0.366
Ho 0.295 0.295 0.590
Eu 0.022 0.022 0.044

Results
crystal system	tetragonal
relative energy among the computed polymorphs	0	meV/atom
ΔH_f (0 K)	-0.539	eV per atom
E_tot	-6.5825	eV per atom

[5]
The following is a GGA-PBE calculation of a relaxed EuHoIrAu crystal, from Alexandria via LeMat-Bulk.

Unit cell a=5.012 b=5.012 c=5.012 alpha=60.00 beta=60.00 gamma=60.00
Fractional coordinates of all 4 atoms:
Ho 0.750 0.750 0.750
Eu 0.250 0.250 0.250
Ir 0.500 0.500 0.500
Au 0.000 0.000 0.000

Results
crystal system	cubic
ΔH_f (0 K)	-0.654	eV per atom
E_tot	-7.4017	eV per atom

[6]
The following is a GGA-PBE calculation of a relaxed LiEuHoAu crystal, from Alexandria via LeMat-Bulk.

Unit cell a=5.200 b=5.200 c=5.200 alpha=60.00 beta=60.00 gamma=60.00
Fractional coordinates of all 4 atoms:
Ho 0.250 0.250 0.250
Li 0.500 0.500 0.500
Au 0.000 0.000 0.000
Eu 0.750 0.750 0.750

Results
crystal system	cubic
ΔH_f (0 K)	-0.358	eV per atom
E_tot	-5.3693	eV per atom

[7]
The following is a GGA-PBE calculation of a relaxed EuHoMgAu crystal, from Alexandria via LeMat-Bulk.

Unit cell a=5.289 b=5.289 c=5.289 alpha=60.00 beta=60.00 gamma=60.00
Fractional coordinates of all 4 atoms:
Eu 0.500 0.500 0.500
Au 0.250 0.250 0.250
Ho 0.000 0.000 0.000
Mg 0.750 0.750 0.750

Results
crystal system	cubic
ΔH_f (0 K)	-0.366	eV per atom
E_tot	-5.2968	eV per atom

[8]
The following is a GGA-PBE calculation of a relaxed EuHoNiAu crystal, from Alexandria via LeMat-Bulk.

Unit cell a=5.026 b=5.026 c=5.026 alpha=60.00 beta=60.00 gamma=60.00
Fractional coordinates of all 4 atoms:
Au 0.000 0.000 0.000
Eu 0.750 0.750 0.750
Ni 0.500 0.500 0.500
Ho 0.250 0.250 0.250

Results
crystal system	cubic
ΔH_f (0 K)	-0.449	eV per atom
E_tot	-6.4262	eV per atom

[9]
The following is a GGA-PBE calculation of a relaxed EuHoPtAu crystal, from Alexandria via LeMat-Bulk.

Unit cell a=5.072 b=5.072 c=5.072 alpha=60.00 beta=60.00 gamma=60.00
Fractional coordinates of all 4 atoms:
Pt 0.250 0.250 0.250
Ho 0.500 0.500 0.500
Eu 0.000 0.000 0.000
Au 0.750 0.750 0.750

Results
crystal system	cubic
ΔH_f (0 K)	-0.904	eV per atom
E_tot	-6.9471	eV per atom

[10]
The following is a GGA-PBE calculation of a relaxed EuHoRuAu crystal, from Alexandria via LeMat-Bulk.

Unit cell a=5.000 b=5.000 c=5.000 alpha=60.00 beta=60.00 gamma=60.00
Fractional coordinates of all 4 atoms:
Ru 0.250 0.250 0.250
Au 0.750 0.750 0.750
Eu 0.500 0.500 0.500
Ho 0.000 0.000 0.000

Results
crystal system	cubic
ΔH_f (0 K)	-0.363	eV per atom
E_tot	-7.2141	eV per atom

[11]
The following is a GGA-PBE calculation of a relaxed EuHoSbAu crystal, from Alexandria via LeMat-Bulk.

Unit cell a=5.300 b=5.300 c=5.300 alpha=60.00 beta=60.00 gamma=60.00
Fractional coordinates of all 4 atoms:
Ho 0.250 0.250 0.250
Sb 0.500 0.500 0.500
Eu 0.750 0.750 0.750
Au 0.000 0.000 0.000

Results
crystal system	cubic
ΔE_f (raw)	-0.800	eV per atom
E_tot	-6.3628	eV per atom

[12]
The following is a GGA-PBE calculation of a relaxed EuHoSnAu crystal, from Alexandria via LeMat-Bulk.

Unit cell a=5.312 b=5.312 c=5.312 alpha=60.00 beta=60.00 gamma=60.00
Fractional coordinates of all 4 atoms:
Au 0.750 0.750 0.750
Ho 0.500 0.500 0.500
Eu 0.000 0.000 0.000
Sn 0.250 0.250 0.250

Results
crystal system	cubic
ΔH_f (0 K)	-0.726	eV per atom
E_tot	-6.2587	eV per atom

[13]
The following is a GGA-PBE calculation of a relaxed EuHoTlAu crystal, from Alexandria via LeMat-Bulk.

Unit cell a=5.323 b=5.323 c=5.323 alpha=60.00 beta=60.00 gamma=60.00
Fractional coordinates of all 4 atoms:
Au 0.500 0.500 0.500
Tl 0.000 0.000 0.000
Eu 0.750 0.750 0.750
Ho 0.250 0.250 0.250

Results
crystal system	cubic
ΔH_f (0 K)	-0.535	eV per atom
E_tot	-5.6587	eV per atom

[14]
The following is a GGA-PBE calculation of a relaxed EuAuI crystal, from Alexandria via LeMat-Bulk.

Unit cell a=5.333 b=5.333 c=5.333 alpha=60.00 beta=60.00 gamma=60.00
Fractional coordinates of all 3 atoms:
Au 0.500 0.500 0.500
Eu 0.250 0.250 0.250
I 0.000 0.000 0.000

Results
crystal system	cubic
ΔE_f (raw)	-0.920	eV per atom
E_tot	-5.9537	eV per atom

[15]
The following is a GGA-PBE calculation of a relaxed EuIn2Au crystal, from Alexandria via LeMat-Bulk.

Unit cell a=4.709 b=6.055 c=7.652 alpha=90.00 beta=90.00 gamma=112.96
Fractional coordinates of all 8 atoms:
In 0.365 0.730 0.949
In 0.635 0.270 0.449
Au 0.210 0.420 0.250
In 0.365 0.730 0.551
Eu 0.923 0.846 0.250
Eu 0.077 0.154 0.750
Au 0.790 0.580 0.750
In 0.635 0.270 0.051

Results
crystal system	monoclinic
ΔH_f (0 K)	-0.541	eV per atom
E_tot	-5.2980	eV per atom

[16]
The following is a GGA-PBE calculation of a relaxed EuInAu2 crystal, from Alexandria via LeMat-Bulk.

Unit cell a=3.721 b=3.721 c=6.857 alpha=90.00 beta=90.00 gamma=90.00
Fractional coordinates of all 4 atoms:
Eu 0.500 0.500 0.500
In 0.500 0.500 0.000
Au 0.000 0.000 0.769
Au 0.000 0.000 0.231

Results
crystal system	tetragonal
ΔH_f (0 K)	-0.521	eV per atom
E_tot	-5.4125	eV per atom

no.,ρ (Mg/m³)
1,11.8
2,9.7
3,9.3
4,9.7
5,13.2
6,8.7
7,8.5
8,10.6
9,12.8
10,11.6
11,10.0
12,9.9
13,11.2
14,7.4
15,9.6
16,11.6